Record 1
Density functional theory data (PBE) for crystalline La2TmH at its relaxed geometry.

For the total magnetization, the calculation gives 0.00 μB per formula unit. As for the uncorrected energy: -0.1675 hartree per atom.

The structure belongs to space group R-3m (No. 166, hexagonal axes); the cell edges are 3.6870, 3.6870 and 26.9619 Å and the angles 90.00°, 90.00° and 120.00°. The inequivalent atoms are La at (0.0000, 0.0000, 0.2241), Tm at (0.0000, 0.0000, 0.0000) and H at (0.0000, 0.0000, 0.5000).

***

Record 2
Density functional theory data (PBE) for crystalline CaCu2As2 at its relaxed geometry.

The formation energy is -0.2177 eV per atom. For the total magnetization, the calculation gives 0.00 μB per formula unit.

The structure belongs to space group P4/mbm (No. 127); the cell edges are 7.459, 7.459 and 3.152 Å and the angles 90.00°, 90.00° and 90.00°. The inequivalent atoms are Ca at (0.000, 0.000, 0.000), Cu at (0.116, 0.384, 0.000) and As at (0.180, 0.680, 0.500).

***

Record 3
Density functional theory data (PBE) for crystalline CeErAlRu at its relaxed geometry.

The formation energy is -0.2968 eV per atom. For the total magnetization, the calculation gives 0.01 μB per formula unit.

The structure belongs to space group F-43m (No. 216); the cell edges are 7.026, 7.026 and 7.026 Å and the angles 90.00°, 90.00° and 90.00°. The inequivalent atoms are Ce at (0.000, 0.000, 0.000), Er at (0.000, 0.000, 0.500), Al at (0.250, 0.250, 0.250) and Ru at (0.250, 0.250, 0.750).

***

Record 4
Density functional theory data (PBE) for crystalline LaCePuTl at its relaxed geometry.

The formation energy is 0.0200 eV per atom. For the total magnetization, the calculation gives 9.12 μB per formula unit.

The structure belongs to space group F-43m (No. 216); the cell edges are 7.741, 7.741 and 7.741 Å and the angles 90.00°, 90.00° and 90.00°. The inequivalent atoms are La at (0.000, 0.000, 0.000), Ce at (0.250, 0.250, 0.250), Pu at (0.000, 0.000, 0.500) and Tl at (0.250, 0.250, 0.750).

***

Record 5
Density functional theory data (PBE) for crystalline Pr2NdIn at its relaxed geometry.

The formation energy is -0.2754 eV per atom. For the total magnetization, the calculation gives 0.00 μB per formula unit.

The structure belongs to space group P4/mmm (No. 123); the cell edges are 5.006, 5.006 and 5.023 Å and the angles 90.00°, 90.00° and 90.00°. The inequivalent atoms are Pr at (0.000, 0.500, 0.000), Nd at (0.000, 0.000, 0.500) and In at (0.500, 0.500, 0.500).

***

Record 6
Density functional theory data (PBE) for crystalline TaAgPS2 at its relaxed geometry.

For the total magnetization, the calculation gives 0.00 μB per formula unit. As for the uncorrected energy: -0.1613 hartree per atom.

The structure belongs to space group P4/mmm (No. 123); the cell edges are 4.646, 4.646 and 4.702 Å and the angles 90.00°, 90.00° and 90.00°. The inequivalent atoms are Ta at (0.000, 0.000, 0.000), Ag at (0.500, 0.500, 0.500), P at (0.500, 0.500, 0.000) and S at (0.000, 0.500, 0.500).